1.
Density functional theory data (PBE) for an optimized crystal structure of NaCaHf3.

Results
Excess energy over the best structure of this formula in the dataset = 0 meV/atom
E_form = 1.44 eV per atom

Cell lengths 5.1491, 5.1491, 5.1491 Å; angles 90.00, 90.00, 90.00 degrees
Atoms (fractional coordinates):
Hf  0.5000  0.0000  0.0000
Hf  0.0000  0.5000  0.0000
Na  0.0000  0.0000  0.0000
Ca  0.5000  0.5000  0.5000
Hf  0.0000  0.0000  0.5000

***

2.
Density functional theory data (PBE) for an optimized crystal structure of NaCa2Hf.

Results
Excess energy over the best structure of this formula in the dataset = 276 meV/atom
E_form = 0.82 eV per atom

Cell lengths 8.6755, 8.6755, 7.0307 Å; angles 51.91, 51.91, 90.00 degrees
Site moments in Bohr magnetons follow the coordinates.
Atoms (fractional coordinates):
Hf  0.7500  0.2500  0.5000  0.76
Ca  0.3750  0.3929  0.7500  0.10
Na  0.5000  0.5000  0.0000  0.01
Ca  0.1429  0.6250  0.2500  0.09
Ca  0.6071  0.1250  0.2500  0.09
Ca  0.8750  0.8571  0.7500  0.09
Hf  0.0000  0.0000  0.0000  0.78
Na  0.2500  0.7500  0.5000  0.01

***

Q: excess energy over the best structure of this formula in the dataset of number 1 (NaCaHf3)?
A: 0 meV/atom

***

Copy entry 2 word for word.
Density functional theory data (PBE) for an optimized crystal structure of NaCa2Hf.

Results
Excess energy over the best structure of this formula in the dataset = 276 meV/atom
E_form = 0.82 eV per atom

Cell lengths 8.6755, 8.6755, 7.0307 Å; angles 51.91, 51.91, 90.00 degrees
Site moments in Bohr magnetons follow the coordinates.
Atoms (fractional coordinates):
Hf  0.7500  0.2500  0.5000  0.76
Ca  0.3750  0.3929  0.7500  0.10
Na  0.5000  0.5000  0.0000  0.01
Ca  0.1429  0.6250  0.2500  0.09
Ca  0.6071  0.1250  0.2500  0.09
Ca  0.8750  0.8571  0.7500  0.09
Hf  0.0000  0.0000  0.0000  0.78
Na  0.2500  0.7500  0.5000  0.01

***

Repeat the first record exactly.
Density functional theory data (PBE) for an optimized crystal structure of NaCaHf3.

Results
Excess energy over the best structure of this formula in the dataset = 0 meV/atom
E_form = 1.44 eV per atom

Cell lengths 5.1491, 5.1491, 5.1491 Å; angles 90.00, 90.00, 90.00 degrees
Atoms (fractional coordinates):
Hf  0.5000  0.0000  0.0000
Hf  0.0000  0.5000  0.0000
Na  0.0000  0.0000  0.0000
Ca  0.5000  0.5000  0.5000
Hf  0.0000  0.0000  0.5000